Computed, not measured: NaNb2Se2 after structural relaxation at the PBE level of DFT.

Cell lengths 3.9403, 3.9403, 7.7648 Å; angles 75.30, 75.30, 90.00 degrees
With the nearest neighbours (Å) after each atom.
Positions (direct):
1 Se 0.3766 0.3766 0.2467  4 Nb 2.69
2 Se 0.6234 0.6234 0.7533  4 Nb 2.69
3 Nb 0.2500 0.7500 0.5000  4 Se 2.69, 4 Nb 2.79
4 Nb 0.7500 0.2500 0.5000  4 Se 2.69, 4 Nb 2.79
5 Na 0.0000 0.0000 0.0000  8 Se 3.31

Properties
magnetization = 0.00 Bohr magnetons per cell
symmetry = I4/mmm, No. 139
E above lowest polymorph = 0 meV/atom

=====

Computed, not measured: NaNb5Se8 after structural relaxation at the PBE level of DFT.

Cell lengths 3.4760, 9.4148, 9.4711 Å; angles 103.90, 100.57, 90.00 degrees
With the nearest neighbours (Å) after each atom.
Positions (direct):
1 Nb 0.6395 0.9966 0.2790  5 Se 2.52-2.75
2 Nb 0.2869 0.6299 0.5737  6 Se 2.56-2.79
3 Nb 0.7131 0.3701 0.4262  6 Se 2.56-2.79
4 Nb 0.3606 0.0034 0.7211  5 Se 2.52-2.75
5 Nb 0.0000 0.0000 0.0000  6 Se 2.65-2.68
6 Se 0.0818 0.8018 0.1635  3 Nb 2.56-2.68
7 Se 0.9183 0.1981 0.8366  3 Nb 2.56-2.68
8 Se 0.2415 0.1589 0.4829  5 Nb 2.75-2.94
9 Se 0.1483 0.5034 0.2965  3 Nb 2.56-2.61
10 Se 0.4289 0.8027 0.8579  4 Nb 2.52-2.75
11 Se 0.8517 0.4966 0.7034  3 Nb 2.56-2.61
12 Se 0.7586 0.8412 0.5171  5 Nb 2.75-2.94
13 Se 0.5711 0.1972 0.1422  4 Nb 2.52-2.75
14 Na 0.4999 0.5002 0.9997  10 Se 3.25-3.43, 2 Na 3.48

Properties
magnetization = 0.00 Bohr magnetons per cell
symmetry = C2/m, No. 12

=====

For each record above, in turn, the calculated raw formation energy values are -0.67, -0.88 eV/atom.